Entry 1:
Crystalline Sm2SnGe4Rh3 at its relaxed geometry. Source: Alexandria, functional PBE.

a = 4.282 Å, b = 4.282 Å, c = 10.563 Å
α = 90.00°, β = 90.00°, γ = 90.00°
Space group P-4m2 (No. 115)
Unique sites:
1 Sm 0.000 0.500 0.234 [2 per cell]
2 Sn 0.000 0.000 0.500 [1 per cell]
3 Ge 0.000 0.000 0.000 [1 per cell]
4 Ge 0.000 0.500 0.658 [2 per cell]
5 Ge 0.500 0.500 0.000 [1 per cell]
6 Rh 0.000 0.500 0.883 [2 per cell]
7 Rh 0.500 0.500 0.500 [1 per cell]

D(E_F) (states/eV per cell): 3.80
Magnetic moment (μB per cell): 0.0
VASP energy (eV/cell): -61.02
DFT formation energy (eV/atom): -0.705



Entry 2:
Crystalline ZnWBr2 at its relaxed geometry. Source: Alexandria, functional PBE.

a = 3.2465 Å, b = 3.2465 Å, c = 32.3967 Å
α = 90.00°, β = 90.00°, γ = 120.00°
Space group R-3m (No. 166, hexagonal axes)
Unique sites:
1 Zn 0.0000 0.0000 0.0000 [3 per cell]
2 W 0.0000 0.0000 0.5000 [3 per cell]
3 Br 0.0000 0.0000 0.1092 [6 per cell]

D(E_F) (states/eV per cell): 4.67
Magnetic moment (μB per cell): 0.0
Formation energy without anion corrections (meV/atom): 400
ΔE to the lowest computed polymorph (meV/atom): 252.2
VASP energy (eV/cell): -47.91



Entry 3:
Crystalline Re3Os at its relaxed geometry. Source: Alexandria, functional PBE.

a = 5.5333 Å, b = 5.5333 Å, c = 13.3923 Å
α = 90.00°, β = 90.00°, γ = 120.00°
Space group P6_3/mmc (No. 194)
Unique sites:
1 Re 0.0031 0.5015 0.2500 [6 per cell]
2 Re 0.1652 0.3305 0.0841 [12 per cell]
3 Os 0.0000 0.0000 0.2500 [2 per cell]
4 Os 0.3333 0.6667 0.5846 [4 per cell]

D(E_F) (states/eV per cell): 18.72
Magnetic moment (μB per cell): 0.0
VASP energy (eV/cell): -291.49
DFT formation energy (eV/atom): -0.002



Question: What is the D(E_F) in the third record?
Answer: 18.72 states/eV per cell



Question: Among the records above, which one has the lowest VASP energy?
Answer: Re3Os



Question: magnetic moment of number 1 (Sm2SnGe4Rh3)?
Answer: 0.0 μB per cell



Question: D(E_F) of number 2 (ZnWBr2)?
Answer: 4.67 states/eV per cell